# 1
# NaGePS2 | Alexandria via LeMat-Bulk | GGA-PBE | relaxed
data_NaGePS2
_chemical_formula_sum 'Na1 Ge1 P1 S2'
_space_group_name_H-M_alt 'P 4/m m m'
_space_group_IT_number 123
_space_group_name_Hall '-P 4 2'
_cell_length_a 4.916
_cell_length_b 4.916
_cell_length_c 4.760
_cell_angle_alpha 90.00
_cell_angle_beta 90.00
_cell_angle_gamma 90.00
loop_
_atom_site_label
_atom_site_fract_x
_atom_site_fract_y
_atom_site_fract_z
Na1 0.000 0.000 0.000
Ge1 0.500 0.500 0.500
P1 0.000 0.000 0.500
S1 0.000 0.500 0.000
# relative energy among the computed polymorphs	869	meV per atom
# size of the total moment	0.0	Bohr magnetons per cell
# crystal system	tetragonal
# VASP energy	-14.25	eV per formula unit
# formation energy (no corrections)	5.35	eV/f.u.

***

# 2
# Na2ZrGeP | Alexandria via LeMat-Bulk | GGA-PBE | relaxed
data_Na2ZrGeP
_chemical_formula_sum 'Na2 Zr1 Ge1 P1'
_space_group_name_H-M_alt 'P 4/m m m'
_space_group_IT_number 123
_space_group_name_Hall '-P 4 2'
_cell_length_a 4.928
_cell_length_b 4.928
_cell_length_c 5.096
_cell_angle_alpha 90.00
_cell_angle_beta 90.00
_cell_angle_gamma 90.00
loop_
_atom_site_label
_atom_site_fract_x
_atom_site_fract_y
_atom_site_fract_z
Na1 0.000 0.500 0.000
Zr1 0.000 0.000 0.500
Ge1 0.500 0.500 0.500
P1 0.500 0.500 0.000
# formation enthalpy at 0 K	715	meV per atom
# size of the total moment	0.0	Bohr magnetons per cell
# crystal system	tetragonal
# VASP energy	-17.64	eV per formula unit